{
  "formula": "Ba2NaIn3Pt4",
  "functional": "PBE-GGA",
  "state": "optimized geometry",
  "lattice_angstrom": [[4.7494, 0.0000, 0.0000], [0.0000, 4.7494, 0.0000], [0.0000, 0.0000, 11.1931]],
  "species": ["Ba", "Ba", "Na", "In", "In", "In", "Pt", "Pt", "Pt", "Pt"],
  "fractional_positions": [[0.0000, 0.5000, 0.2403], [0.5000, 0.0000, 0.7597], [0.0000, 0.0000, 0.5000], [0.0000, 0.5000, 0.8829], [0.5000, 0.0000, 0.1171], [0.5000, 0.5000, 0.5000], [0.0000, 0.0000, 0.0000], [0.0000, 0.5000, 0.6412], [0.5000, 0.0000, 0.3588], [0.5000, 0.5000, 0.0000]],
  "e_form_ev_per_fu": -6.0,
  "total_magnetization_mub_per_fu": 0.000,
  "space_group": "P-4m2 (115)"
}